# 1
A relaxed structure of Li4CuNi2Ge, computed with PBE.

abc: 4.142 4.142 5.701
angles: 90.00 90.00 90.00
Fractional positions:
Cu1 0.000 0.000 0.000
Ge1 0.500 0.500 0.500
Li1 0.500 0.500 0.000
Li2 0.500 0.000 0.240
Li3 0.000 0.000 0.500
Li4 0.000 0.500 0.760
Ni1 0.000 0.500 0.265
Ni2 0.500 0.000 0.735

Symmetry: P-4m2
VASP energy, eV/atom: -3.5781



# 2
A relaxed structure of LiCuGeOs, computed with PBE.

abc: 4.178 4.178 4.178
angles: 60.00 60.00 60.00
Fractional positions:
Cu1 0.750 0.750 0.750
Ge1 0.000 0.000 0.000
Li1 0.500 0.500 0.500
Os1 0.250 0.250 0.250

Symmetry: F-43m
Energy above the lowest structure with this stoichiometry, kJ/mol of atoms: 0.0